CrSe2F: optimized geometry, PBE+U.

## Properties
E	-34.04	eV/cell
spin magnetization	0.31	μB per atom

Geometry as POSCAR:
```
CrSe2F
1.0
-2.504 0.322 -5.315
-2.461 -5.278 0.840
-6.923 -0.052 0.001
Cr Se F
2 4 2
direct
0.000 0.000 0.000
0.750 0.250 0.500
0.653 0.125 0.250
0.097 0.625 0.250
0.375 0.347 0.750
0.875 0.903 0.750
0.500 0.500 0.000
0.250 0.750 0.500
```